Record 1
First-principles (GGA-PBE) data for crystalline CdIn4Ag at its relaxed geometry, as listed in Alexandria via LeMat-Bulk.

Results
calculated density = 6.94 g/cm3
calculated formation energy = 144 kJ/mol of formula units

abc: 8.662 8.662 8.662
angles: 90.00 90.00 90.00
Space group F-43m (No. 216)
Asymmetric unit:
Cd1 0.000 0.000 0.000 x4
In1 0.125 0.125 0.625 x16
Ag1 0.250 0.250 0.250 x4

=====

Record 2
First-principles (GGA-PBE) data for crystalline PmErHfN3 at its relaxed geometry, as listed in Alexandria via LeMat-Bulk.

Results
calculated density = 8.92 g/cm3
E_tot = -8.783 eV/atom

abc: 6.387 3.288 9.469
angles: 90.00 94.38 90.00
Space group P2_1/m (No. 11)
Asymmetric unit:
Pm1 0.166 0.250 0.216 x2
Er1 0.205 0.250 0.577 x2
Hf1 0.344 0.750 0.894 x2
N1 0.137 0.250 0.838 x2
N2 0.158 0.750 0.421 x2
N3 0.405 0.750 0.112 x2

=====

- What is the calculated density in the first record?
  6.94 g/cm3